Record 1
Below is Zr2TaAg at its PBEsol-relaxed geometry, with properties calculated at the SCAN level.

The structure in extended XYZ format:
```
4
Lattice="-2.966 -0.475 1.616 1.603 -4.119 1.732 1.710 2.266 3.805" Properties=species:S:1:pos:R:3 pbc="T T T"
Zr 0.802 -2.059 0.866
Ag 0.173 -1.164 3.576
Ta -1.483 -0.237 0.808
Zr 0.855 1.133 1.902
```

Computed properties:
ΔE to the lowest computed polymorph, meV/atom: 83
M_tot, μB/f.u.: 0.0
Energy of formation from the pure elements, meV per atom: 68

Record 2
Below is Zr2TaAg at its PBEsol-relaxed geometry, with properties calculated at the SCAN level.

The structure in extended XYZ format:
```
4
Lattice="-0.274 -2.841 -1.140 -0.438 -1.389 3.569 -6.421 0.810 -0.472" Properties=species:S:1:pos:R:3 pbc="T T T"
Ta -5.133 -1.513 0.863
Zr -6.350 0.801 -0.467
Ag -3.256 0.411 -0.239
Zr -2.024 -1.905 1.092
```

Computed properties:
ΔE to the lowest computed polymorph, meV/atom: 191
M_tot, μB/f.u.: 0.0
Energy of formation from the pure elements, meV per atom: 176

Record 3
Below is Zr2TaAg at its PBEsol-relaxed geometry, with properties calculated at the SCAN level.

The structure in extended XYZ format:
```
4
Lattice="4.152 0.000 0.000 0.000 4.152 0.000 -2.076 -2.076 4.475" Properties=species:S:1:pos:R:3 pbc="T T T"
Zr 2.076 0.000 2.237
Ta 0.000 2.076 2.237
Zr 0.000 0.000 0.000
Ag 2.076 2.076 0.000
```

Computed properties:
ΔE to the lowest computed polymorph, meV/atom: 132
M_tot, μB/f.u.: 0.0
Energy of formation from the pure elements, meV per atom: 117

Record 4
Below is ZrTaAg2 at its PBEsol-relaxed geometry, with properties calculated at the SCAN level.

The structure in extended XYZ format:
```
4
Lattice="2.903 0.041 0.000 -0.039 2.903 0.000 0.000 0.000 8.550" Properties=species:S:1:pos:R:3 pbc="T T T"
Ag 1.432 1.472 6.438
Ta 0.000 0.000 4.360
Zr 1.432 1.472 2.137
Ag 0.000 0.000 8.440
```

Computed properties:
ΔE to the lowest computed polymorph, meV/atom: 0
M_tot, μB/f.u.: 0.0
Energy of formation from the pure elements, meV per atom: 64

Record 5
Below is Tb14Ag51 at its PBEsol-relaxed geometry, with properties calculated at the SCAN level.

The structure in extended XYZ format:
```
65
Lattice="9.183 0.000 0.000 0.000 12.498 0.000 0.000 -6.249 10.824" Properties=species:S:1:pos:R:3 pbc="T T T"
Ag 4.592 -1.876 5.259
Ag 4.592 -2.588 7.836
Ag 6.419 0.000 0.000
Ag 3.055 4.796 1.171
Ag 1.406 7.091 5.962
Ag 6.128 4.865 6.085
Ag 6.958 -0.732 4.277
Ag 2.772 6.249 3.608
Ag 0.000 1.579 7.141
Ag 2.225 -2.180 9.319
Ag 3.053 -4.809 8.336
Ag 6.131 1.434 2.491
Ag 7.079 0.693 10.039
Ag 2.105 -2.792 6.404
Ag 7.777 7.867 1.702
Tb 6.365 0.000 7.216
Tb 4.592 5.002 8.739
Tb 0.000 5.181 0.712
Ag 3.053 3.375 10.820
Ag 6.128 9.086 3.568
Ag 4.592 -0.756 9.819
Ag 1.406 3.789 3.159
Ag 4.592 1.831 9.147
Tb 4.592 -3.820 10.786
Tb 0.000 4.275 5.981
Tb 2.819 0.000 7.216
Tb 0.000 9.291 4.131
Ag 6.131 -4.809 8.336
Ag 1.394 10.825 1.828
Ag 0.000 -0.855 5.886
Ag 7.789 2.420 0.535
Ag 2.105 2.099 5.204
Ag 3.053 1.434 2.491
Ag 6.131 3.375 10.820
Ag 7.777 7.091 5.962
Ag 7.079 2.099 5.204
Ag 2.764 0.000 0.000
Ag 1.406 7.867 1.702
Tb 0.000 -4.068 8.445
Ag 7.789 10.825 1.828
Ag 2.105 0.693 10.039
Ag 7.789 5.503 8.460
Ag 3.055 4.865 6.085
Ag 1.394 5.503 8.460
Ag 6.128 4.796 1.171
Ag 0.000 6.249 3.608
Ag 6.412 6.249 3.608
Ag 4.592 2.632 6.570
Ag 1.394 2.420 0.535
Ag 3.055 9.086 3.568
Ag 2.225 2.911 8.052
Tb 0.000 0.970 3.078
Ag 6.958 -2.180 9.319
Ag 7.777 3.789 3.159
Ag 0.000 -0.725 8.621
Tb 4.592 -1.182 2.122
Ag 2.225 -0.732 4.277
Ag 6.958 2.911 8.052
Ag 7.079 -2.792 6.404
Ag 4.592 0.757 4.665
Ag 0.000 0.000 0.000
Tb 4.592 3.782 3.678
Tb 4.592 7.544 5.709
Tb 4.592 7.422 1.436
Tb 0.000 3.098 10.125
```

Computed properties:
M_tot, μB/f.u.: 0.0
Energy of formation from the pure elements, meV per atom: -262

Record 6
Below is TbAg at its PBEsol-relaxed geometry, with properties calculated at the SCAN level.

The structure in extended XYZ format:
```
2
Lattice="-0.115 0.454 -3.554 3.214 -1.556 -0.303 -1.581 -3.197 -0.357" Properties=species:S:1:pos:R:3 pbc="T T T"
Ag 0.000 0.000 0.000
Tb 0.759 -2.149 -2.107
```

Computed properties:
M_tot, μB/f.u.: 0.0
Energy of formation from the pure elements, meV per atom: -378

Record 7
Below is TbTlAg2 at its PBEsol-relaxed geometry, with properties calculated at the SCAN level.

The structure in extended XYZ format:
```
4
Lattice="4.890 0.000 0.000 2.445 4.235 0.000 2.445 1.412 3.993" Properties=species:S:1:pos:R:3 pbc="T T T"
Ag 2.445 1.412 0.998
Ag 7.336 4.235 2.995
Tb 4.890 2.823 1.996
Tl 0.000 0.000 0.000
```

Computed properties:
M_tot, μB/f.u.: 0.0
Energy of formation from the pure elements, meV per atom: -291

Record 8
Below is Tc3Ag at its PBEsol-relaxed geometry, with properties calculated at the SCAN level.

The structure in extended XYZ format:
```
4
Lattice="-0.926 1.110 -2.308 -3.033 -3.611 -0.519 -2.032 3.489 2.492" Properties=species:S:1:pos:R:3 pbc="T T T"
Ag 0.000 0.000 0.000
Tc -1.979 -1.251 -1.414
Tc -2.532 -0.061 0.986
Tc -1.479 2.299 0.092
```

Computed properties:
ΔE to the lowest computed polymorph, meV/atom: 120
M_tot, μB/f.u.: 0.0
Energy of formation from the pure elements, meV per atom: 467

Record 9
Below is Tc3Ag at its PBEsol-relaxed geometry, with properties calculated at the SCAN level.

The structure in extended XYZ format:
```
4
Lattice="-1.593 1.873 -1.186 -1.320 -2.983 -2.939 -3.616 -1.247 2.889" Properties=species:S:1:pos:R:3 pbc="T T T"
Tc -1.877 -1.911 -0.496
Ag -0.012 -0.004 0.010
Tc -2.626 0.306 0.869
Tc -4.424 -1.578 0.309
```

Computed properties:
ΔE to the lowest computed polymorph, meV/atom: 0
M_tot, μB/f.u.: 0.0
Energy of formation from the pure elements, meV per atom: 347

Record 10
Below is Tc2Ag at its PBEsol-relaxed geometry, with properties calculated at the SCAN level.

The structure in extended XYZ format:
```
3
Lattice="-1.019 0.376 -2.501 1.633 -2.125 0.502 -5.508 -3.838 1.668" Properties=species:S:1:pos:R:3 pbc="T T T"
Tc -3.693 -2.937 -0.423
Ag 0.000 0.000 0.000
Tc -1.202 -2.651 0.092
```

Computed properties:
M_tot, μB/f.u.: 0.0
Energy of formation from the pure elements, meV per atom: 199

Record 11
Below is TcAg4 at its PBEsol-relaxed geometry, with properties calculated at the SCAN level.

The structure in extended XYZ format:
```
5
Lattice="4.040 0.000 0.000 2.020 4.487 0.000 2.020 0.000 4.487" Properties=species:S:1:pos:R:3 pbc="T T T"
Ag 2.020 1.795 0.880
Ag 6.060 2.692 3.607
Ag 4.040 0.880 2.692
Tc 0.000 0.000 0.000
Ag 4.040 3.607 1.795
```

Computed properties:
M_tot, μB/f.u.: 3.2
Energy of formation from the pure elements, meV per atom: 436

Record 12
Below is TcAg2Te at its PBEsol-relaxed geometry, with properties calculated at the SCAN level.

The structure in extended XYZ format:
```
4
Lattice="-0.774 2.944 -1.419 -3.240 -0.501 0.727 0.792 2.857 5.496" Properties=species:S:1:pos:R:3 pbc="T T T"
Ag -1.813 1.923 1.004
Te -1.442 3.261 3.578
Ag 0.021 0.074 0.143
Tc 0.407 1.469 2.827
```

Computed properties:
Formation energy (no corrections), kJ/mol of formula units: 96
M_tot, μB/f.u.: 0.0